(1)
The following is a PBE calculation of a geometry-optimized ZrBiPd4 structure, from the Alexandria database.

Properties
DFT total energy: -6.069 eV per atom
Calculated volume: 109.5 Å³/f.u.
Density: 11.0 g/cm3
DOS(E_F): 2.64 states/eV/cell
E_form: -0.535 eV per atom

CIF file:
```
data_ZrBiPd4
_cell_length_a 3.760
_cell_length_b 5.033
_cell_length_c 6.665
_cell_angle_alpha 70.88
_cell_angle_beta 89.93
_cell_angle_gamma 68.09
_space_group_name_H-M_alt 'P -1'
_space_group_IT_number 2
_space_group_name_Hall '-P 1'
loop_
_atom_site_label
_atom_site_fract_x
_atom_site_fract_y
_atom_site_fract_z
Zr1 0.000 0.000 0.000
Bi1 0.000 0.000 0.500
Pd1 0.334 0.334 0.688
Pd2 0.336 0.328 0.147
```



(2)
The following is a PBE calculation of a geometry-optimized TaTe2PtI structure, from the Alexandria database.

Properties
DFT total energy: -4.046 eV per atom
Calculated volume: 143.9 Å³/f.u.
Formation energy without anion corrections: 5.50 eV per formula unit
Density: 8.7 g/cm3
DOS(E_F): 7.37 states/eV/cell

CIF file:
```
data_TaTe2PtI
_cell_length_a 5.243
_cell_length_b 5.243
_cell_length_c 5.237
_cell_angle_alpha 90.00
_cell_angle_beta 90.00
_cell_angle_gamma 90.00
_space_group_name_H-M_alt 'P 4/m m m'
_space_group_IT_number 123
_space_group_name_Hall '-P 4 2'
loop_
_atom_site_label
_atom_site_fract_x
_atom_site_fract_y
_atom_site_fract_z
Ta1 0.000 0.000 0.000
Te1 0.000 0.500 0.500
Pt1 0.500 0.500 0.500
I1 0.500 0.500 0.000
```